First-principles (PBE+U) data for CrBiI2O after structural relaxation, as listed in the Alexandria database.

abc: 6.282 6.282 4.333
angles: 90.00 90.00 90.00
Each line ends with the local moment (μB).
Sites, in units of the cell vectors:
Cr 0.500 0.500 0.500  4.62
I 0.500 0.000 0.000  -0.02
O 0.000 0.000 0.500  0.00
I 0.000 0.500 0.000  -0.02
Bi 0.000 0.000 0.000  0.00

Computed properties:
Its space-group type is P4/mmm (123). As for the total energy: -4.01 eV per atom. For the energy relative to the lowest polymorph listed for this composition, the calculation gives 0.265 eV/atom.